[1]
A plane-wave DFT calculation with PBE was carried out for a geometry-optimized Ac5NiIr structure.

```
Ac5NiIr
1.0
5.590 -4.606 0.000
5.590 4.606 0.000
-3.796 0.000 10.404
Ac Ni Ir
10 2 2
Direct
0.074 0.724 0.352
0.246 0.754 0.750
0.271 0.369 0.992
0.276 0.926 0.148
0.369 0.271 0.492
0.631 0.729 0.508
0.724 0.074 0.852
0.729 0.631 0.008
0.754 0.246 0.250
0.926 0.276 0.648
0.000 0.500 0.500
0.500 0.000 0.000
0.435 0.565 0.250
0.565 0.435 0.750
```

Final energy: -36.40 eV/f.u.
Total magnetic moment: 0.00 μB per formula unit
SG: C2/c
Formation enthalpy at 0 K: -173 meV/atom



[2]
A plane-wave DFT calculation with PBE was carried out for a geometry-optimized Pm4DyY structure.

```
Pm4DyY
1.0
5.583 -3.002 0.000
5.583 3.002 0.000
-0.015 0.000 6.018
Pm Dy Y
4 1 1
Direct
0.163 0.163 0.015
0.337 0.337 0.516
0.663 0.663 0.484
0.837 0.837 0.985
0.500 0.500 0.000
0.000 0.000 0.500
```

Final energy: -29.43 eV/f.u.
Total magnetic moment: 0.00 μB per formula unit
SG: C2/m
Formation enthalpy at 0 K: 107 meV/atom
Energy above the lowest structure with this stoichiometry: 0 meV/atom



[3]
A plane-wave DFT calculation with PBE was carried out for a geometry-optimized Pr3Sn5Rh6 structure.

```
Pr3Sn5Rh6
1.0
4.385 0.000 0.000
0.000 13.554 0.000
0.000 0.000 10.132
Pr Sn Rh
6 10 12
Direct
0.250 0.076 0.248
0.250 0.424 0.248
0.250 0.750 0.262
0.750 0.250 0.738
0.750 0.576 0.752
0.750 0.924 0.752
0.250 0.084 0.642
0.250 0.416 0.642
0.250 0.632 0.985
0.250 0.750 0.654
0.250 0.868 0.985
0.750 0.132 0.015
0.750 0.250 0.346
0.750 0.368 0.015
0.750 0.584 0.358
0.750 0.916 0.358
0.250 0.050 0.901
0.250 0.250 0.499
0.250 0.250 0.984
0.250 0.450 0.901
0.250 0.586 0.504
0.250 0.914 0.504
0.750 0.086 0.496
0.750 0.414 0.496
0.750 0.550 0.099
0.750 0.750 0.016
0.750 0.750 0.501
0.750 0.950 0.099
```

Final energy: -88.31 eV/f.u.
Total magnetic moment: 0.00 μB per formula unit
SG: Pmmn
Formation enthalpy at 0 K: -703 meV/atom



[4]
A plane-wave DFT calculation with PBE was carried out for a geometry-optimized TlSnTeF structure.

```
TlSnTeF
1.0
2.142 1.237 16.460
-2.142 1.237 16.460
0.000 -2.473 16.460
Tl Sn Te F
2 2 2 2
Direct
0.133 0.133 0.133
0.867 0.867 0.867
0.304 0.304 0.304
0.696 0.696 0.696
0.396 0.396 0.396
0.604 0.604 0.604
0.184 0.184 0.184
0.816 0.816 0.816
```

Final energy: -15.26 eV/f.u.
Total magnetic moment: 0.00 μB per formula unit
SG: R-3m
Formation energy from raw total energies: -970 meV/atom



[5]
A plane-wave DFT calculation with PBE was carried out for a geometry-optimized Ti2AgSeS structure.

```
Ti2AgSeS
1.0
4.850 0.000 0.000
0.000 4.850 0.000
0.000 0.000 4.857
Ti Ag Se S
2 1 1 1
Direct
0.000 0.500 0.000
0.500 0.000 0.000
0.000 0.000 0.500
0.000 0.000 0.000
0.500 0.500 0.500
```

Final energy: -24.75 eV/f.u.
Total magnetic moment: 4.13 μB per formula unit
SG: P4/mmm
Formation energy from raw total energies: 300 meV/atom



[6]
A plane-wave DFT calculation with PBE was carried out for a geometry-optimized Sc2TiCo structure.

```
Sc2TiCo
1.0
1.505 0.869 9.567
-1.505 0.869 9.567
0.000 -1.738 9.567
Sc Ti Co
2 1 1
Direct
0.100 0.100 0.100
0.900 0.900 0.900
0.000 0.000 0.000
0.500 0.500 0.500
```

Final energy: -26.64 eV/f.u.
Total magnetic moment: 0.33 μB per formula unit
SG: R-3m
Formation enthalpy at 0 K: 255 meV/atom
Energy above the lowest structure with this stoichiometry: 375 meV/atom



[7]
A plane-wave DFT calculation with PBE was carried out for a geometry-optimized Pu4GeTe2As structure.

```
Pu4GeTe2As
1.0
7.416 0.000 0.000
0.000 4.283 0.000
-2.493 0.000 7.056
Pu Ge Te As
4 1 2 1
Direct
0.242 0.000 0.225
0.256 0.500 0.772
0.744 0.500 0.228
0.758 0.000 0.775
0.500 0.000 0.000
0.000 0.000 0.500
0.500 0.500 0.500
0.000 0.500 0.000
```

Final energy: -79.61 eV/f.u.
Total magnetic moment: 0.04 μB per formula unit
SG: P2/m
Formation energy from raw total energies: -841 meV/atom



[8]
A plane-wave DFT calculation with PBE was carried out for a geometry-optimized Nd8Ga3PtI4 structure.

```
Nd8Ga3PtI4
1.0
7.564 -4.362 0.000
7.564 4.362 0.000
-5.046 0.000 7.683
Nd Ga Pt I
8 3 1 4
Direct
0.230 0.741 0.702
0.231 0.231 0.703
0.259 0.770 0.298
0.262 0.262 0.285
0.738 0.738 0.715
0.741 0.230 0.702
0.769 0.769 0.297
0.770 0.259 0.298
0.000 0.500 0.500
0.500 0.000 0.500
0.500 0.500 0.500
0.000 0.000 0.500
0.000 0.000 0.000
0.000 0.500 0.000
0.500 0.000 0.000
0.500 0.500 0.000
```

Final energy: -72.68 eV/f.u.
Total magnetic moment: 0.00 μB per formula unit
SG: C2/m
Formation energy from raw total energies: -826 meV/atom



[9]
A plane-wave DFT calculation with PBE was carried out for a geometry-optimized Ca3ScIr structure.

```
Ca3ScIr
1.0
5.440 0.000 0.000
0.000 5.440 0.000
0.000 0.000 5.440
Ca Sc Ir
3 1 1
Direct
0.000 0.000 0.500
0.000 0.500 0.000
0.500 0.000 0.000
0.000 0.000 0.000
0.500 0.500 0.500
```

Final energy: -13.97 eV/f.u.
Total magnetic moment: 3.92 μB per formula unit
SG: Pm-3m
Formation enthalpy at 0 K: 1445 meV/atom
Energy above the lowest structure with this stoichiometry: 1342 meV/atom



[10]
A plane-wave DFT calculation with PBE was carried out for a geometry-optimized Pm6Ni3Hg structure.

```
Pm6Ni3Hg
1.0
5.659 -6.561 0.000
5.659 6.561 0.000
0.000 0.000 6.969
Pm Ni Hg
12 6 2
Direct
0.024 0.433 0.298
0.045 0.955 0.500
0.225 0.775 0.123
0.310 0.370 0.955
0.370 0.310 0.455
0.433 0.024 0.798
0.567 0.976 0.298
0.630 0.690 0.955
0.690 0.630 0.455
0.775 0.225 0.623
0.955 0.045 0.000
0.976 0.567 0.798
0.087 0.271 0.678
0.271 0.087 0.178
0.410 0.590 0.255
0.590 0.410 0.755
0.729 0.913 0.678
0.913 0.729 0.178
0.311 0.689 0.608
0.689 0.311 0.108
```

Final energy: -48.28 eV/f.u.
Total magnetic moment: 0.00 μB per formula unit
SG: Cmc2_1
Formation enthalpy at 0 K: -213 meV/atom



[11]
A plane-wave DFT calculation with PBE was carried out for a geometry-optimized Tl2HgPd5 structure.

```
Tl2HgPd5
1.0
-3.010 3.010 3.939
3.010 -3.010 3.939
3.010 3.010 -3.939
Tl Hg Pd
2 1 5
Direct
0.000 0.500 0.500
0.500 0.000 0.500
0.000 0.000 0.000
0.000 0.000 0.500
0.000 0.500 0.000
0.500 0.000 0.000
0.500 0.500 0.000
0.500 0.500 0.500
```

Final energy: -32.44 eV/f.u.
Total magnetic moment: 0.00 μB per formula unit
SG: I4/mmm
Formation enthalpy at 0 K: -180 meV/atom
Energy above the lowest structure with this stoichiometry: 0 meV/atom



[12]
A plane-wave DFT calculation with PBE was carried out for a geometry-optimized Ac3Sn3Ge2 structure.

```
Ac3Sn3Ge2
1.0
2.263 -6.182 0.000
2.263 6.182 0.000
0.000 0.000 17.932
Ac Sn Ge
6 6 4
Direct
0.097 0.903 0.750
0.372 0.628 0.595
0.372 0.628 0.905
0.628 0.372 0.095
0.628 0.372 0.405
0.903 0.097 0.250
0.092 0.908 0.554
0.092 0.908 0.946
0.176 0.824 0.250
0.824 0.176 0.750
0.908 0.092 0.054
0.908 0.092 0.446
0.330 0.670 0.131
0.330 0.670 0.369
0.670 0.330 0.631
0.670 0.330 0.869
```

Final energy: -38.27 eV/f.u.
Total magnetic moment: 0.00 μB per formula unit
SG: Cmcm
Formation enthalpy at 0 K: -587 meV/atom
Energy above the lowest structure with this stoichiometry: 0 meV/atom



[13]
A plane-wave DFT calculation with PBE was carried out for a geometry-optimized KBaLaBr6 structure.

```
KBaLaBr6
1.0
8.065 0.000 0.000
-4.032 6.984 0.000
0.000 0.000 13.621
K Ba La Br
2 2 2 12
Direct
0.333 0.667 0.250
0.667 0.333 0.750
0.000 0.000 0.000
0.000 0.000 0.500
0.333 0.667 0.750
0.667 0.333 0.250
0.034 0.360 0.627
0.034 0.674 0.873
0.326 0.360 0.873
0.326 0.966 0.627
0.360 0.034 0.127
0.360 0.326 0.373
0.640 0.674 0.627
0.640 0.966 0.873
0.674 0.034 0.373
0.674 0.640 0.127
0.966 0.326 0.127
0.966 0.640 0.373
```

Final energy: -35.90 eV/f.u.
Total magnetic moment: 0.00 μB per formula unit
SG: P-31c
Formation energy from raw total energies: -1990 meV/atom



[14]
A plane-wave DFT calculation with PBE was carried out for a geometry-optimized Ta3W structure.

```
Ta3W
1.0
4.897 0.000 0.000
0.000 5.390 0.000
0.000 0.000 5.463
Ta W
6 2
Direct
0.250 0.000 0.137
0.250 0.250 0.631
0.250 0.500 0.137
0.750 0.000 0.863
0.750 0.500 0.863
0.750 0.750 0.369
0.250 0.750 0.639
0.750 0.250 0.361
```

Final energy: -47.51 eV/f.u.
Total magnetic moment: 0.00 μB per formula unit
SG: Pmmn
Formation enthalpy at 0 K: 249 meV/atom